No. 1
PBE As2RuAu, relaxed; energy of formation = 0.07 eV per atom; E_tot = -21.58 eV per formula unit; N(E_F) = 2.70 states/eV/f.u.
1.0
2.966 0.000 0.000
0.000 2.968 0.000
0.000 0.000 8.058
As Ru Au
2 1 1
direct
0.000 0.000 0.948
0.000 0.000 0.552
0.500 0.500 0.750
0.500 0.500 0.250

=====

No. 2
PBE AsRuAu2, relaxed; energy of formation = 0.16 eV per atom; E_tot = -19.86 eV per formula unit; N(E_F) = 2.53 states/eV/f.u.
1.0
-2.683 -6.033 0.703
-0.018 -6.385 1.823
-1.475 0.425 3.644
Au Ru As
2 1 1
direct
0.439 0.439 0.523
0.061 0.061 0.977
0.750 0.750 0.750
0.250 0.250 0.250

=====

Question: Which of these has the highest energy of formation?
Answer: AsRuAu2